Record 1
A plane-wave DFT calculation with GGA-PBE was carried out for RbAsRuCl2 after structural relaxation.

```
5
Lattice="-5.147 1.323 1.902 -0.529 -4.362 1.604 2.227 1.550 4.950" Properties=species:S:1:pos:R:3 pbc="T T T"
As 0.000 0.000 0.000
Rb -1.724 -0.745 4.228
Cl 1.114 0.775 2.475
Cl -2.574 0.661 0.951
Ru -0.264 -2.181 0.802
```

Summary:
Space-group type: P4/mmm
Formation energy from raw total energies, eV/atom: -0.158
DFT total energy, eV/atom: -3.87



Record 2
A plane-wave DFT calculation with GGA-PBE was carried out for AgGe3Br after structural relaxation.

```
5
Lattice="5.167 0.000 0.000 0.000 5.167 0.000 0.000 0.000 5.167" Properties=species:S:1:pos:R:3 pbc="T T T"
Ge 0.000 0.000 2.583
Ge 2.583 0.000 0.000
Ge 0.000 2.583 0.000
Br 0.000 0.000 0.000
Ag 2.583 2.583 2.583
```

Summary:
Space-group type: Pm-3m
Formation energy from raw total energies, eV/atom: 1.009
Polymorph energy (0 for the lowest one), meV/atom: 370.0
DFT total energy, eV/atom: -2.67